LiNiO | PBE with a Hubbard U | optimized geometry

Lattice parameters (Å, degrees): 2.8982 3.5846 6.0423 90.00 90.00 90.00
Space group Pmmn (No. 59, origin choice 2)
One atom of each set of equivalent atoms:
Li  0.2500  0.2500  0.0633 (multiplicity 2)
Ni  0.2500  0.2500  0.6145 (multiplicity 2)
O  0.2500  0.7500  0.1685 (multiplicity 2)

Results
uncorrected energy = -4.07 eV per atom
calculated density = 4.3 Mg/m³
crystal system = orthorhombic
DOS at the Fermi energy = 1.2 states/eV/cell